NiTe5Ir | PBE | relaxed

## Properties
- Total magnetic moment: 0.0 μB per cell
- Total DFT energy (no corrections): -60.539 eV for the cell shown
- Space-group type: No. 63

Unit cell a=6.4487 b=6.4487 c=15.2673 alpha=90.00 beta=90.00 gamma=146.36
With the nearest neighbours (Å) after each atom.
Fractional positions:
Te (0.1260, 0.8740, 0.4498)  2 Ni 2.55
Te (0.6008, 0.3992, 0.8527)  1 Ni 2.57, 2 Ir 2.75
Te (0.6008, 0.3992, 0.6473)  1 Ni 2.57, 2 Ir 2.75
Ni (0.5000, 0.5000, 0.5000)  6 Te 2.55-2.57
Te (0.3992, 0.6008, 0.3527)  1 Ni 2.57, 2 Ir 2.75
Ir (0.0018, 0.9982, 0.2500)  6 Te 2.66-2.75
Te (0.8740, 0.1260, 0.9498)  2 Ni 2.55
Ir (0.9982, 0.0018, 0.7500)  6 Te 2.66-2.75
Te (0.6552, 0.3448, 0.2500)  2 Ir 2.66
Te (0.8740, 0.1260, 0.5502)  2 Ni 2.55
Ni (0.5000, 0.5000, 0.0000)  6 Te 2.55-2.57
Te (0.1260, 0.8740, 0.0502)  2 Ni 2.55
Te (0.3992, 0.6008, 0.1473)  1 Ni 2.57, 2 Ir 2.75
Te (0.3448, 0.6552, 0.7500)  2 Ir 2.66